Entry 1:
A plane-wave DFT calculation with PBEsol was carried out for crystalline Nb2CrAu at its relaxed geometry. Values from VASP.

```
&SYSTEM
  ibrav = 0, nat = 4, ntyp = 3
/
ATOMIC_SPECIES
Cr 52.00 Cr.upf
Nb 92.91 Nb.upf
Au 196.97 Au.upf
ATOMIC_POSITIONS crystal
Cr 0.0000 0.0000 0.0000
Nb 0.2500 0.2500 0.2500
Nb 0.7500 0.7500 0.7500
Au 0.5000 0.5000 0.5000
CELL_PARAMETERS angstrom
-4.1863 1.1170 1.2226
-1.1939 -0.1503 4.3381
-0.7401 3.8198 2.2646
```

Formation enthalpy at 0 K ... 0.203 eV/atom

=====

Entry 2:
A plane-wave DFT calculation with PBEsol was carried out for crystalline HfCr2NiPd at its relaxed geometry. Values from VASP.

```
&SYSTEM
  ibrav = 0, nat = 5, ntyp = 4
/
ATOMIC_SPECIES
Ni 58.69 Ni.upf
Hf 178.49 Hf.upf
Pd 106.42 Pd.upf
Cr 52.00 Cr.upf
ATOMIC_POSITIONS crystal
Ni 0.5000 0.5000 0.5000
Hf 0.0000 0.0000 0.5000
Pd 0.0000 0.0000 0.0000
Cr 0.0000 0.5000 0.0000
Cr 0.5000 0.0000 0.0000
CELL_PARAMETERS angstrom
-2.9894 -2.2553 2.7819
3.0757 -3.4731 0.4894
1.8957 2.2192 3.8362
```

Formation enthalpy at 0 K ... 1.417 eV/atom

=====

Entry 3:
A plane-wave DFT calculation with PBEsol was carried out for crystalline LaY7 at its relaxed geometry. Values from VASP.

```
&SYSTEM
  ibrav = 0, nat = 8, ntyp = 2
/
ATOMIC_SPECIES
Y 88.91 Y.upf
La 138.91 La.upf
ATOMIC_POSITIONS crystal
Y 0.5000 0.5000 0.0000
Y 0.0000 0.5000 0.0000
Y 0.0000 0.5000 0.5000
Y 0.0000 0.0000 0.5000
Y 0.5000 0.0000 0.5000
Y 0.5000 0.0000 0.0000
Y 0.5000 0.5000 0.5000
La 0.0000 0.0000 0.0000
CELL_PARAMETERS angstrom
-6.3585 1.2336 -2.7620
-5.7434 -0.4408 4.0497
-3.5281 5.8361 1.7532
```

Formation enthalpy at 0 K ... 0.018 eV/atom

=====

Entry 4:
A plane-wave DFT calculation with PBEsol was carried out for crystalline LiY2Tc at its relaxed geometry. Values from VASP.

```
&SYSTEM
  ibrav = 0, nat = 4, ntyp = 3
/
ATOMIC_SPECIES
Li 6.94 Li.upf
Tc 98.00 Tc.upf
Y 88.91 Y.upf
ATOMIC_POSITIONS crystal
Li 0.0000 0.0000 0.4547
Tc 0.5000 0.5000 0.2580
Y 0.0000 0.0000 0.0548
Y 0.5000 0.5000 0.7324
CELL_PARAMETERS angstrom
-0.3693 2.1522 2.2089
-1.9796 -2.3521 0.4432
6.6277 -4.5366 5.5282
```

Formation enthalpy at 0 K ... 0.459 eV/atom

=====

Entry 5:
A plane-wave DFT calculation with PBEsol was carried out for crystalline YMg4Cu at its relaxed geometry. Values from VASP.

```
&SYSTEM
  ibrav = 0, nat = 12, ntyp = 3
/
ATOMIC_SPECIES
Cu 63.55 Cu.upf
Mg 24.30 Mg.upf
Y 88.91 Y.upf
ATOMIC_POSITIONS crystal
Cu 0.0000 0.7954 0.2500
Cu 0.0000 0.2046 0.7500
Mg 0.0000 0.0000 0.0000
Mg 0.0000 0.0000 0.5000
Mg 0.5000 0.0551 0.2500
Mg 0.5000 0.9449 0.7500
Mg 0.5000 0.3096 0.9398
Mg 0.5000 0.3096 0.5602
Mg 0.5000 0.6904 0.0602
Mg 0.5000 0.6904 0.4398
Y 0.0000 0.4010 0.2500
Y 0.0000 0.5990 0.7500
CELL_PARAMETERS angstrom
-2.5185 -1.7065 -2.6280
-2.5261 -4.5276 5.3608
-6.0288 5.7690 2.0315
```

Formation enthalpy at 0 K ... -0.094 eV/atom
Distance to the lowest polymorph of the same formula ... 26 meV/atom

=====

Entry 6:
A plane-wave DFT calculation with PBEsol was carried out for crystalline CrFeNi at its relaxed geometry. Values from VASP.

```
&SYSTEM
  ibrav = 0, nat = 3, ntyp = 3
/
ATOMIC_SPECIES
Cr 52.00 Cr.upf
Fe 55.84 Fe.upf
Ni 58.69 Ni.upf
ATOMIC_POSITIONS crystal
Cr 0.9970 0.9970 0.9940
Fe 0.6696 0.6696 0.3392
Ni 0.3334 0.3334 0.6669
CELL_PARAMETERS angstrom
-0.4828 1.5694 -1.7628
-2.3480 -0.4957 0.2109
0.8995 3.4937 4.5056
```

Formation enthalpy at 0 K ... 0.052 eV/atom
Distance to the lowest polymorph of the same formula ... 0 meV/atom

=====

Entry 7:
A plane-wave DFT calculation with PBEsol was carried out for crystalline Al2Cu at its relaxed geometry. Values from VASP.

```
&SYSTEM
  ibrav = 0, nat = 3, ntyp = 2
/
ATOMIC_SPECIES
Al 26.98 Al.upf
Cu 63.55 Cu.upf
ATOMIC_POSITIONS crystal
Al 0.7500 0.7500 0.7500
Al 0.2500 0.2500 0.2500
Cu 0.0000 0.0000 0.0000
CELL_PARAMETERS angstrom
4.0486 0.0000 0.0000
2.0243 3.5062 0.0000
2.0243 1.1687 3.3057
```

Formation enthalpy at 0 K ... -0.179 eV/atom

=====

Entry 8:
A plane-wave DFT calculation with PBEsol was carried out for crystalline RbSc2CrAs at its relaxed geometry. Values from VASP.

```
&SYSTEM
  ibrav = 0, nat = 5, ntyp = 4
/
ATOMIC_SPECIES
Sc 44.96 Sc.upf
Cr 52.00 Cr.upf
As 74.92 As.upf
Rb 85.47 Rb.upf
ATOMIC_POSITIONS crystal
Sc 0.0000 0.0000 0.5000
Sc 0.0000 0.5000 0.0000
Cr 0.5000 0.0000 0.0000
As 0.0000 0.0000 0.0000
Rb 0.5000 0.5000 0.5000
CELL_PARAMETERS angstrom
4.9504 0.0000 0.0000
0.0000 5.2364 0.0000
0.0000 0.0000 5.2364
```

Formation enthalpy at 0 K ... 0.418 eV/atom

=====

Entry 9:
A plane-wave DFT calculation with PBEsol was carried out for crystalline Li4MnB2O6 at its relaxed geometry. Values from VASP.

```
&SYSTEM
  ibrav = 0, nat = 26, ntyp = 4
/
ATOMIC_SPECIES
Li 6.94 Li.upf
Mn 54.94 Mn.upf
B 10.81 B.upf
O 16.00 O.upf
ATOMIC_POSITIONS crystal
Li 0.5000 0.6684 0.4442
Li 0.0000 0.1684 0.0558
Li 0.0000 0.8316 0.9442
Li 0.5000 0.3316 0.5558
Li 0.0000 0.5054 0.2948
Li 0.5000 0.0054 0.2052
Li 0.5000 0.9946 0.7948
Li 0.0000 0.4946 0.7052
Mn 0.0000 0.0000 0.5000
Mn 0.5000 0.5000 0.0000
B 0.5000 0.2673 0.2994
B 0.0000 0.7673 0.2006
B 0.0000 0.2327 0.7994
B 0.5000 0.7327 0.7006
O 0.5000 0.1205 0.3880
O 0.0000 0.6205 0.1120
O 0.0000 0.3795 0.8880
O 0.5000 0.8795 0.6120
O 0.0000 0.7489 0.3494
O 0.5000 0.2489 0.1506
O 0.5000 0.7511 0.8494
O 0.0000 0.2511 0.6506
O 0.5000 0.4236 0.3636
O 0.0000 0.9236 0.1364
O 0.0000 0.0764 0.8636
O 0.5000 0.5764 0.6364
CELL_PARAMETERS angstrom
-1.8186 1.1639 -2.4761
-6.5467 -1.7938 3.9652
0.0621 8.3950 3.9005
```

=====

Entry 10:
A plane-wave DFT calculation with PBEsol was carried out for crystalline Li2TiFe2O5 at its relaxed geometry. Values from VASP.

```
&SYSTEM
  ibrav = 0, nat = 20, ntyp = 4
/
ATOMIC_SPECIES
Li 6.94 Li.upf
Ti 47.87 Ti.upf
Fe 55.84 Fe.upf
O 16.00 O.upf
ATOMIC_POSITIONS crystal
Li 0.7500 0.7504 0.5007
Li 0.2500 0.2496 0.4993
Li 0.7500 0.5526 0.1051
Li 0.2500 0.4474 0.8949
Ti 0.2500 0.6500 0.2999
Ti 0.7500 0.3500 0.7001
Fe 0.2500 0.8557 0.7114
Fe 0.2500 0.0394 0.0789
Fe 0.7500 0.1443 0.2886
Fe 0.7500 0.9606 0.9211
O 0.5000 0.5000 0.5000
O 0.0000 0.0000 0.5000
O 0.5114 0.1045 0.7031
O 0.0114 0.4014 0.2969
O 0.4886 0.8955 0.2969
O 0.9886 0.5986 0.7031
O 0.9869 0.2183 0.8920
O 0.4869 0.3262 0.1080
O 0.5131 0.6738 0.8920
O 0.0131 0.7817 0.1080
CELL_PARAMETERS angstrom
-4.6508 -1.5416 -0.9309
0.3465 -4.5013 -2.2292
-0.4014 -0.9856 7.6139
```

Distance to the lowest polymorph of the same formula ... 0 meV/atom

=====

Entry 11:
A plane-wave DFT calculation with PBEsol was carried out for crystalline ReMo2WN at its relaxed geometry. Values from VASP.

```
&SYSTEM
  ibrav = 0, nat = 5, ntyp = 4
/
ATOMIC_SPECIES
Re 186.21 Re.upf
Mo 95.94 Mo.upf
W 183.84 W.upf
N 14.01 N.upf
ATOMIC_POSITIONS crystal
Re 0.0000 0.0000 0.0000
Mo 0.0000 0.0000 0.5000
Mo 0.0000 0.5000 0.0000
W 0.5000 0.5000 0.5000
N 0.5000 0.0000 0.0000
CELL_PARAMETERS angstrom
3.6449 0.0000 0.0000
0.0000 4.8202 0.0000
0.0000 0.0000 4.8202
```

=====

Entry 12:
A plane-wave DFT calculation with PBEsol was carried out for crystalline YAlHg2 at its relaxed geometry. Values from VASP.

```
&SYSTEM
  ibrav = 0, nat = 4, ntyp = 3
/
ATOMIC_SPECIES
Y 88.91 Y.upf
Hg 200.59 Hg.upf
Al 26.98 Al.upf
ATOMIC_POSITIONS crystal
Y 0.5000 0.5000 0.5000
Hg 0.2717 0.2717 0.1849
Hg 0.7283 0.7283 0.8151
Al 0.0000 0.0000 0.0000
CELL_PARAMETERS angstrom
-3.8776 1.0013 2.0084
-2.2854 -3.1832 2.1717
0.4567 0.3955 5.6817
```

Formation enthalpy at 0 K ... -0.408 eV/atom

=====

| no. | DFT total energy (eV/cell) |
| --- | --- |
| 1 | -34.99 |
| 2 | -36.02 |
| 3 | -52.95 |
| 4 | -25.04 |
| 5 | -37.18 |
| 6 | -25.21 |
| 7 | -13.05 |
| 8 | -27.50 |
| 9 | -181.57 |
| 10 | -151.58 |
| 11 | -50.43 |
| 12 | -13.68 |